1.
Entry from the Alexandria database: a relaxed structure of HoTe3Au (PBE).

Output
The total energy comes out at -4.134 eV per atom. The formation energy from raw total energies comes out at -0.6776 eV/atom. Its crystal system is monoclinic. The space-group type is P2_1/c.

Cell lengths 7.779, 8.273, 9.400 Å; angles 90.00, 82.68, 90.00 degrees
Fractional coordinates of all 20 atoms:
1 Te 0.723 0.887 0.061
2 Te 0.682 0.503 0.729
3 Te 0.667 0.849 0.410
4 Te 0.182 0.997 0.229
5 Te 0.167 0.651 0.910
6 Te 0.833 0.349 0.090
7 Te 0.818 0.003 0.771
8 Te 0.223 0.613 0.561
9 Te 0.318 0.497 0.271
10 Te 0.277 0.113 0.939
11 Te 0.777 0.387 0.439
12 Te 0.333 0.151 0.590
13 Ho 0.972 0.663 0.228
14 Ho 0.028 0.337 0.772
15 Ho 0.528 0.163 0.272
16 Ho 0.472 0.837 0.728
17 Au 0.967 0.815 0.525
18 Au 0.533 0.315 0.975
19 Au 0.033 0.185 0.475
20 Au 0.467 0.685 0.025

***

2.
Entry from the Alexandria database: a relaxed structure of YTlSb2 (PBE).

Output
The total energy comes out at -4.666 eV per atom. The formation energy from raw total energies comes out at -0.3969 eV/atom. Its crystal system is orthorhombic. The calculation puts the energy relative to the lowest polymorph listed for this composition at 97.9 meV/atom. The space-group type is Immm.

Cell lengths 5.790, 5.790, 5.790 Å; angles 130.63, 129.73, 73.12 degrees
Fractional coordinates of all 4 atoms:
1 Sb 0.000 0.000 0.000
2 Sb 0.500 0.500 0.000
3 Tl 0.750 0.250 0.500
4 Y 0.250 0.750 0.500

***

3.
Entry from the Alexandria database: a relaxed structure of Ho8Sb2Ru3 (PBE).

Output
The total energy comes out at -6.124 eV per atom. The formation energy from raw total energies comes out at -0.5317 eV/atom. Its crystal system is orthorhombic. The space-group type is Cmmm.

Cell lengths 4.846, 9.726, 8.902 Å; angles 123.08, 90.00, 90.00 degrees
Fractional coordinates of all 13 atoms:
1 Sb 0.500 0.743 0.486
2 Sb 0.500 0.257 0.514
3 Ho 0.500 0.864 0.217
4 Ho 0.500 0.353 0.217
5 Ho 0.500 0.647 0.783
6 Ho 0.000 0.111 0.222
7 Ho 0.000 0.393 0.787
8 Ho 0.000 0.889 0.778
9 Ho 0.000 0.607 0.213
10 Ho 0.500 0.136 0.783
11 Ru 0.500 0.000 0.000
12 Ru 0.000 0.247 0.000
13 Ru 0.000 0.753 0.000

***

4.
Entry from the Alexandria database: a relaxed structure of Tb2Ho5Sc12 (PBE).

Output
The total energy comes out at -5.557 eV per atom. Its crystal system is monoclinic. The space-group type is C2/m. As for the formation enthalpy at 0 K: 0.13 eV/atom.

Cell lengths 8.654, 8.517, 8.210 Å; angles 92.68, 90.00, 120.53 degrees
Fractional coordinates of all 19 atoms:
1 Ho 0.288 0.577 0.986
2 Ho 0.712 0.423 0.014
3 Ho 0.000 0.000 0.500
4 Ho 0.766 0.531 0.425
5 Ho 0.234 0.469 0.575
6 Sc 0.675 0.704 0.752
7 Sc 0.441 0.259 0.664
8 Sc 0.818 0.259 0.664
9 Sc 0.182 0.741 0.336
10 Sc 0.553 0.105 0.337
11 Sc 0.559 0.741 0.336
12 Sc 0.970 0.296 0.248
13 Sc 0.447 0.895 0.663
14 Sc 0.030 0.704 0.752
15 Sc 0.325 0.296 0.248
16 Sc 0.928 0.857 0.129
17 Sc 0.072 0.143 0.871
18 Tb 0.321 0.000 0.000
19 Tb 0.679 0.000 0.000

***

5.
Entry from the Alexandria database: a relaxed structure of Nd2DyHoEr2 (PBE).

Output
The total energy comes out at -4.572 eV per atom. Its crystal system is orthorhombic. The space-group type is Pmma. As for the formation enthalpy at 0 K: 0.07 eV/atom.

Cell lengths 5.643, 6.999, 9.772 Å; angles 90.00, 90.00, 90.00 degrees
Fractional coordinates of all 12 atoms:
1 Er 0.500 0.258 0.332
2 Er 0.500 0.758 0.668
3 Er 0.000 0.258 0.836
4 Er 0.000 0.758 0.164
5 Nd 0.500 0.008 0.000
6 Nd 0.000 0.258 0.176
7 Nd 0.500 0.508 0.000
8 Nd 0.000 0.758 0.824
9 Ho 0.000 0.508 0.500
10 Ho 0.000 0.008 0.500
11 Dy 0.500 0.758 0.341
12 Dy 0.500 0.258 0.659

***

6.
Entry from the Alexandria database: a relaxed structure of Ho6InCu (PBE).

Output
The total energy comes out at -4.161 eV per atom. Its crystal system is trigonal. The space-group type is R-3. As for the formation enthalpy at 0 K: 0.13 eV/atom.

Cell lengths 7.223, 7.226, 6.848 Å; angles 58.16, 58.19, 59.99 degrees
Fractional coordinates of all 8 atoms:
1 Ho 0.028 0.439 0.761
2 Ho 0.439 0.772 0.761
3 Ho 0.972 0.561 0.239
4 Ho 0.229 0.972 0.239
5 Ho 0.771 0.028 0.761
6 Ho 0.561 0.228 0.239
7 Cu 0.000 0.000 0.000
8 In 0.500 0.500 0.500